(1)
The following is a DFT calculation (PBE-GGA) of an optimized crystal structure of ZrIn2Si.

Cell and atoms, written as CIF:
```
data_ZrIn2Si
_chemical_formula_sum 'Zr1 In2 Si1'
_symmetry_space_group_name_H-M 'P 1'
_symmetry_Int_Tables_number 1
_cell_length_a 3.890
_cell_length_b 3.890
_cell_length_c 5.660
_cell_angle_alpha 90.00
_cell_angle_beta 90.00
_cell_angle_gamma 90.00
loop_
_symmetry_equiv_pos_as_xyz
'x,y,z'
loop_
_atom_site_label
_atom_site_fract_x
_atom_site_fract_y
_atom_site_fract_z
Zr1 0.000 0.000 0.000
In1 0.500 0.500 0.252
In2 0.500 0.500 0.748
Si1 0.000 0.000 0.500
```

Results
Crystal system: tetragonal
Raw formation energy, eV/atom: -0.01

(2)
The following is a DFT calculation (PBE-GGA) of an optimized crystal structure of ZrIn2Si.

Cell and atoms, written as CIF:
```
data_ZrIn2Si
_chemical_formula_sum 'Zr2 In4 Si2'
_symmetry_space_group_name_H-M 'P 1'
_symmetry_Int_Tables_number 1
_cell_length_a 6.301
_cell_length_b 6.301
_cell_length_c 6.301
_cell_angle_alpha 101.62
_cell_angle_beta 101.62
_cell_angle_gamma 126.67
loop_
_symmetry_equiv_pos_as_xyz
'x,y,z'
loop_
_atom_site_label
_atom_site_fract_x
_atom_site_fract_y
_atom_site_fract_z
Zr1 0.000 0.000 0.000
Zr2 0.750 0.250 0.500
In1 0.162 0.625 0.037
In2 0.375 0.412 0.537
In3 0.588 0.125 0.963
In4 0.875 0.838 0.463
Si1 0.250 0.750 0.500
Si2 0.500 0.500 0.000
```

Results
Crystal system: tetragonal
Raw formation energy, eV/atom: 0.11

| no. | calculated volume (Å³ per cell) |
| --- | --- |
| 1 | 85.7 |
| 2 | 179.3 |